one | ## SrScRe2 (PBE)

Data for SrScRe2 after structural relaxation.

Lattice parameters (Å, degrees): 3.325 4.589 4.974 90.00 90.00 90.00
Space group Pmmm (No. 47)
One atom of each set of equivalent atoms:
Sr 0.000 0.000 0.000 (multiplicity 1)
Sc 0.500 0.500 0.000 (multiplicity 1)
Re 0.000 0.500 0.500 (multiplicity 1)
Re 0.500 0.000 0.500 (multiplicity 1)

***

two | ## SrScRe2 (PBE)

Data for SrScRe2 after structural relaxation.

Lattice parameters (Å, degrees): 5.715 9.920 2.806 90.00 107.08 90.00
Space group C2/m (No. 12)
One atom of each set of equivalent atoms:
Sr 0.000 0.000 0.000 (multiplicity 2)
Sc 0.000 0.500 0.000 (multiplicity 2)
Re 0.250 0.250 0.500 (multiplicity 4)

***

Stability ranking, top entry: two; the second entry is 47 meV per atom less favorable.

***

one | ## SrScRe2 (PBE)

Data for SrScRe2 after structural relaxation.

Lattice parameters (Å, degrees): 3.411 5.058 10.263 90.00 90.00 90.00
Space group Imm2 (No. 44)
One atom of each set of equivalent atoms:
Sr 0.000 0.000 0.000 (multiplicity 2)
Sc 0.000 0.500 0.218 (multiplicity 2)
Re 0.000 0.000 0.439 (multiplicity 2)
Re 0.000 0.500 0.772 (multiplicity 2)

***

two | ## SrScRe2 (PBE)

Data for SrScRe2 after structural relaxation.

Lattice parameters (Å, degrees): 3.0072 3.0072 29.5539 90.00 90.00 120.00
Space group R-3m (No. 166, hexagonal axes)
One atom of each set of equivalent atoms:
Sr 0.0000 0.0000 0.0000 (multiplicity 3)
Sc 0.0000 0.0000 0.5000 (multiplicity 3)
Re 0.0000 0.0000 0.2420 (multiplicity 6)

***

three | ## SrScRe2 (PBE)

Data for SrScRe2 after structural relaxation.

Lattice parameters (Å, degrees): 5.374 5.374 2.799 90.00 90.00 90.00
Space group P4/mmm (No. 123)
One atom of each set of equivalent atoms:
Sr 0.000 0.000 0.000 (multiplicity 1)
Sc 0.500 0.500 0.000 (multiplicity 1)
Re 0.000 0.500 0.500 (multiplicity 2)

***

four | ## SrScRe2 (PBE)

Data for SrScRe2 after structural relaxation.

Lattice parameters (Å, degrees): 2.799 2.799 9.864 90.00 90.00 90.00
Space group P4/mmm (No. 123)
One atom of each set of equivalent atoms:
Sr 0.000 0.000 0.000 (multiplicity 1)
Sc 0.000 0.000 0.500 (multiplicity 1)
Re 0.500 0.500 0.273 (multiplicity 2)

***

Stability ranking, top entry: one; the second entry is 227 meV per atom less favorable.

***

one | ## SrScRe2 (PBE)

Data for SrScRe2 after structural relaxation.

Lattice parameters (Å, degrees): 3.221 4.777 9.862 90.00 90.00 90.00
Space group Immm (No. 71)
One atom of each set of equivalent atoms:
Sr 0.000 0.000 0.000 (multiplicity 2)
Sc 0.000 0.000 0.500 (multiplicity 2)
Re 0.000 0.500 0.239 (multiplicity 4)

***

two | ## SrScRe2 (PBE)

Data for SrScRe2 after structural relaxation.

Lattice parameters (Å, degrees): 3.1541 3.1541 30.1391 90.00 90.00 120.00
Space group R3m (No. 160, hexagonal axes)
One atom of each set of equivalent atoms:
Sr 0.0000 0.0000 0.0000 (multiplicity 3)
Sc 0.0000 0.0000 0.7784 (multiplicity 3)
Re 0.0000 0.0000 0.2443 (multiplicity 3)
Re 0.0000 0.0000 0.5178 (multiplicity 3)

***

three | ## SrScRe2 (PBE)

Data for SrScRe2 after structural relaxation.

Lattice parameters (Å, degrees): 3.157 3.157 9.029 90.00 90.00 90.00
Space group P4mm (No. 99)
One atom of each set of equivalent atoms:
Sr 0.000 0.000 0.000 (multiplicity 1)
Sc 0.500 0.500 0.621 (multiplicity 1)
Re 0.000 0.000 0.416 (multiplicity 1)
Re 0.500 0.500 0.268 (multiplicity 1)

***

four | ## SrScRe2 (PBE)

Data for SrScRe2 after structural relaxation.

Lattice parameters (Å, degrees): 3.067 4.053 7.654 90.00 95.72 90.00
Space group Pm (No. 6)
One atom of each set of equivalent atoms:
Sr 0.000 0.000 0.000 (multiplicity 1)
Sc 0.355 0.500 0.619 (multiplicity 1)
Re 0.520 0.500 0.299 (multiplicity 1)
Re 0.894 0.000 0.416 (multiplicity 1)

***

Stability ranking, top entry: three; the second entry is 157 meV per atom less favorable.

***

one | ## SrScRe (PBE)

Data for SrScRe after structural relaxation.

Lattice parameters (Å, degrees): 3.511 3.511 12.188 90.00 90.00 90.00
Space group I4mm (No. 107)
One atom of each set of equivalent atoms:
Sr 0.000 0.000 0.000 (multiplicity 2)
Sc 0.000 0.000 0.731 (multiplicity 2)
Re 0.000 0.000 0.323 (multiplicity 2)

***

two | ## SrScRe (PBE)

Data for SrScRe after structural relaxation.

Lattice parameters (Å, degrees): 6.798 6.798 6.798 90.00 90.00 90.00
Space group F-43m (No. 216)
One atom of each set of equivalent atoms:
Sr 0.000 0.000 0.000 (multiplicity 4)
Sc 0.000 0.000 0.500 (multiplicity 4)
Re 0.250 0.250 0.250 (multiplicity 4)

***

three | ## SrScRe (PBE)

Data for SrScRe after structural relaxation.

Lattice parameters (Å, degrees): 6.955 6.955 6.955 90.00 90.00 90.00
Space group F-43m (No. 216)
One atom of each set of equivalent atoms:
Sr 0.000 0.000 0.000 (multiplicity 4)
Sc 0.250 0.250 0.250 (multiplicity 4)
Re 0.250 0.250 0.750 (multiplicity 4)

***

Stability ranking, top entry: one; the second entry is 460 meV per atom less favorable.

***

one | ## ScTaRe (PBE)

Data for ScTaRe after structural relaxation.

Lattice parameters (Å, degrees): 6.276 6.276 6.276 90.00 90.00 90.00
Space group F-43m (No. 216)
One atom of each set of equivalent atoms:
Sc 0.000 0.000 0.000 (multiplicity 4)
Ta 0.000 0.000 0.500 (multiplicity 4)
Re 0.250 0.250 0.750 (multiplicity 4)

***

two | ## ScTaRe (PBE)

Data for ScTaRe after structural relaxation.

Lattice parameters (Å, degrees): 5.658 8.705 9.443 90.00 90.00 90.00
Space group Fmmm (No. 69)
One atom of each set of equivalent atoms:
Sc 0.000 0.175 0.000 (multiplicity 8)
Ta 0.000 0.000 0.326 (multiplicity 8)
Re 0.250 0.250 0.250 (multiplicity 8)

***

Stability ranking, top entry: two; the second entry is 284 meV per atom less favorable.

***

one | ## ScTaRe (PBE)

Data for ScTaRe after structural relaxation.

Lattice parameters (Å, degrees): 3.1018 3.1018 6.7161 90.00 90.00 120.00
Space group P3m1 (No. 156)
One atom of each set of equivalent atoms:
Sc 0.0000 0.0000 0.0000 (multiplicity 1)
Ta 0.6667 0.3333 0.3872 (multiplicity 1)
Re 0.3333 0.6667 0.6739 (multiplicity 1)

***

two | ## ScTaRe (PBE)

Data for ScTaRe after structural relaxation.

Lattice parameters (Å, degrees): 4.5815 4.5815 2.9045 90.00 90.00 120.00
Space group P3m1 (No. 156)
One atom of each set of equivalent atoms:
Sc 0.0000 0.0000 0.0000 (multiplicity 1)
Ta 0.3333 0.6667 0.3956 (multiplicity 1)
Re 0.6667 0.3333 0.6624 (multiplicity 1)

***

three | ## ScTaRe (PBE)

Data for ScTaRe after structural relaxation.

Lattice parameters (Å, degrees): 3.262 4.796 13.852 90.00 90.00 90.00
Space group Fmm2 (No. 42)
One atom of each set of equivalent atoms:
Sc 0.000 0.000 0.000 (multiplicity 4)
Ta 0.000 0.000 0.312 (multiplicity 4)
Re 0.000 0.000 0.663 (multiplicity 4)

***

Stability ranking, top entry: two; the second entry is 138 meV per atom less favorable.

***

one | ## ScTaRe (PBE)

Data for ScTaRe after structural relaxation.

Lattice parameters (Å, degrees): 3.264 3.264 10.292 90.00 90.00 90.00
Space group I4mm (No. 107)
One atom of each set of equivalent atoms:
Sc 0.000 0.000 0.000 (multiplicity 2)
Ta 0.000 0.000 0.302 (multiplicity 2)
Re 0.000 0.000 0.671 (multiplicity 2)

***

two | ## ScTaRe (PBE)

Data for ScTaRe after structural relaxation.

Lattice parameters (Å, degrees): 2.747 4.705 8.224 90.00 90.00 90.00
Space group Imm2 (No. 44)
One atom of each set of equivalent atoms:
Sc 0.000 0.000 0.000 (multiplicity 2)
Ta 0.000 0.000 0.664 (multiplicity 2)
Re 0.000 0.000 0.336 (multiplicity 2)

***

Stability ranking, top entry: one; the second entry is 253 meV per atom less favorable.

***

one | ## Sc2TaRe2 (PBE)

Data for Sc2TaRe2 after structural relaxation.

Lattice parameters (Å, degrees): 6.645 6.645 4.435 90.00 90.00 90.00
Space group P4/mbm (No. 127)
One atom of each set of equivalent atoms:
Sc 0.174 0.326 0.000 (multiplicity 4)
Ta 0.000 0.000 0.500 (multiplicity 2)
Re 0.131 0.631 0.500 (multiplicity 4)

***

two | ## Sc2TaRe2 (PBE)

Data for Sc2TaRe2 after structural relaxation.

Lattice parameters (Å, degrees): 8.091 8.091 2.764 90.00 90.00 90.00
Space group P4/mbm (No. 127)
One atom of each set of equivalent atoms:
Sc 0.123 0.377 0.000 (multiplicity 4)
Ta 0.000 0.000 0.000 (multiplicity 2)
Re 0.182 0.682 0.500 (multiplicity 4)

***

Stability ranking, top entry: one; the second entry is 407 meV per atom less favorable.

***

one | ## ScReTc (PBE)

Data for ScReTc after structural relaxation.

Lattice parameters (Å, degrees): 6.086 6.086 6.086 90.00 90.00 90.00
Space group F-43m (No. 216)
One atom of each set of equivalent atoms:
Sc 0.000 0.000 0.000 (multiplicity 4)
Re 0.000 0.000 0.500 (multiplicity 4)
Tc 0.250 0.250 0.250 (multiplicity 4)

***

two | ## ScReTc (PBE)

Data for ScReTc after structural relaxation.

Lattice parameters (Å, degrees): 4.4348 4.4348 2.8337 90.00 90.00 120.00
Space group P3m1 (No. 156)
One atom of each set of equivalent atoms:
Sc 0.0000 0.0000 0.0000 (multiplicity 1)
Re 0.3333 0.6667 0.6238 (multiplicity 1)
Tc 0.6667 0.3333 0.3391 (multiplicity 1)

***

Stability ranking, top entry: two; the second entry is 348 meV per atom less favorable.

***

one | ## ScReTc2 (PBE)

Data for ScReTc2 after structural relaxation.

Lattice parameters (Å, degrees): 3.118 4.578 8.862 90.00 90.00 90.00
Space group Cmmm (No. 65)
One atom of each set of equivalent atoms:
Sc 0.000 0.000 0.000 (multiplicity 2)
Re 0.000 0.000 0.500 (multiplicity 2)
Tc 0.000 0.500 0.260 (multiplicity 4)

***

two | ## ScReTc2 (PBE)

Data for ScReTc2 after structural relaxation.

Lattice parameters (Å, degrees): 3.119 4.400 4.551 90.00 90.00 90.00
Space group Pmmm (No. 47)
One atom of each set of equivalent atoms:
Sc 0.000 0.000 0.000 (multiplicity 1)
Re 0.500 0.000 0.500 (multiplicity 1)
Tc 0.000 0.500 0.500 (multiplicity 1)
Tc 0.500 0.500 0.000 (multiplicity 1)

***

three | ## ScReTc2 (PBE)

Data for ScReTc2 after structural relaxation.

Lattice parameters (Å, degrees): 3.138 4.514 8.920 90.00 90.00 90.00
Space group Cmm2 (No. 35)
One atom of each set of equivalent atoms:
Sc 0.000 0.000 0.000 (multiplicity 2)
Re 0.000 0.500 0.265 (multiplicity 2)
Tc 0.000 0.000 0.505 (multiplicity 2)
Tc 0.000 0.500 0.743 (multiplicity 2)

***

Stability ranking, top entry: two; the second entry is 139 meV per atom less favorable.

***

one | ## ScReTc2 (PBE)

Data for ScReTc2 after structural relaxation.

Lattice parameters (Å, degrees): 2.793 4.442 5.149 90.00 101.24 90.00
Space group Pm (No. 6)
One atom of each set of equivalent atoms:
Sc 0.000 0.000 0.000 (multiplicity 1)
Re 0.272 0.500 0.740 (multiplicity 1)
Tc 0.495 0.000 0.501 (multiplicity 1)
Tc 0.751 0.500 0.240 (multiplicity 1)

***

two | ## ScReTc2 (PBE)

Data for ScReTc2 after structural relaxation.

Lattice parameters (Å, degrees): 6.281 6.281 6.281 90.00 90.00 90.00
Space group Fm-3m (No. 225)
One atom of each set of equivalent atoms:
Sc 0.000 0.000 0.000 (multiplicity 4)
Re 0.000 0.000 0.500 (multiplicity 4)
Tc 0.250 0.250 0.250 (multiplicity 8)

***

Stability ranking, top entry: two; the second entry is 181 meV per atom less favorable.